Entry 1:
24
Lattice="-0.191 1.792 4.067 6.925 -7.879 3.798 9.680 7.199 -2.717" Properties=species:S:1:pos:R:3 comment="Nd3Zn2Os PBE-GGA optimized geometry" sg="Pnma, No. 62" total_magnetization_mub_per_atom=0.000 delta_e_f_ev_per_atom=-0.21 dft_energy_ev_per_atom=-4.891 pbc="T T T"
Nd 3.889 1.567 3.142
Nd 3.132 -2.199 2.333
Nd 12.525 -0.454 2.006
Nd 6.106 3.523 -0.049
Nd 9.240 4.584 2.064
Nd 9.624 1.383 3.493
Nd 10.307 -2.410 5.197
Nd 6.789 -0.271 1.655
Nd 7.491 -5.296 6.336
Nd 7.174 -3.472 3.084
Nd 8.923 6.408 -1.188
Nd 13.282 3.312 2.815
Os 8.453 2.037 0.716
Os 7.961 -0.925 4.432
Os 14.369 0.890 3.934
Os 2.044 0.223 1.215
Zn 15.052 1.247 1.375
Zn 2.882 2.513 0.245
Zn 13.531 -1.401 4.904
Zn 5.350 -1.199 4.429
Zn 6.902 2.667 2.799
Zn 9.511 -1.555 2.349
Zn 1.361 -0.134 3.773
Zn 11.064 2.311 0.719



Entry 2:
6
Lattice="-2.090 0.100 2.079 -2.079 0.019 -2.091 -0.182 -6.373 0.123" Properties=species:S:1:pos:R:3 comment="ZnNiH PBE-GGA optimized geometry" sg="P4/nmm, No. 129" total_magnetization_mub_per_atom=0.000 dft_energy_ev_per_atom=-3.568 pbc="T T T"
Zn -0.158 -5.529 0.107
Zn -2.109 -0.785 0.010
Ni -0.066 -2.298 0.044
Ni -2.201 -4.016 0.073
H -1.136 -3.137 1.101
H -1.131 -3.177 -0.984



Entry 3:
16
Lattice="4.205 0.000 0.000 0.000 4.205 0.000 0.000 0.000 16.268" Properties=species:S:1:pos:R:3 comment="La3GaPd12 PBE-GGA optimized geometry" sg="P4/mmm, No. 123" total_magnetization_mub_per_atom=0.000 delta_e_f_ev_per_atom=-0.70 dft_energy_ev_per_atom=-5.713 pbc="T T T"
Pd 2.103 2.103 3.877
Pd 0.000 2.103 10.255
Pd 2.103 0.000 10.255
Pd 2.103 2.103 0.000
Pd 2.103 2.103 12.391
Pd 2.103 0.000 6.013
Pd 2.103 0.000 1.743
Pd 0.000 2.103 1.743
Pd 2.103 0.000 14.525
Pd 0.000 2.103 14.525
Pd 0.000 2.103 6.013
Pd 2.103 2.103 8.134
La 0.000 0.000 8.134
La 0.000 0.000 3.878
La 0.000 0.000 12.391
Ga 0.000 0.000 0.000



Entry 4:
5
Lattice="-2.124 -3.662 -1.723 0.266 -2.068 4.068 -3.253 1.442 0.945" Properties=species:S:1:pos:R:3 comment="Hf2AlHW PBE-GGA optimized geometry" sg="P4/mmm, No. 123" total_magnetization_mub_per_atom=0.000 dft_energy_ev_per_atom=-8.199 pbc="T T T"
Hf -1.062 -1.831 -0.862
Hf 0.133 -1.034 2.034
H 0.000 0.000 0.000
W -1.627 0.721 0.473
Al -2.556 -2.144 1.645



Entry 5:
13
Lattice="-6.196 -0.970 2.485 -2.516 -2.126 -7.103 4.896 -4.798 4.017" Properties=species:S:1:pos:R:3 comment="Ho2Np3S8 PBE-GGA optimized geometry" sg="C2/m, No. 12" raw_formation_energy_ev_per_atom=-1.509 total_magnetization_mub_per_atom=0.251 dft_energy_ev_per_atom=-7.740 pbc="T T T"
S -3.536 -3.513 -4.297
S -2.203 -2.387 -0.535
S -5.981 -3.234 -1.229
S -0.281 -4.382 3.696
S 2.165 -4.660 0.628
S -1.613 -5.508 -0.066
S -4.912 -2.268 2.418
S 1.096 -5.626 -3.019
Ho -0.189 -3.415 1.089
Ho -3.627 -4.479 -1.690
Np -1.864 -1.575 -5.262
Np -3.098 -0.485 1.242
Np -0.652 -0.551 -1.841



Entry 6:
19
Lattice="7.001 -6.190 0.044 7.001 6.190 0.044 1.469 0.000 9.229" Properties=species:S:1:pos:R:3 comment="Cs2Na16Ag PBE-GGA optimized geometry" sg="R3m, No. 160" total_magnetization_mub_per_atom=0.000 delta_e_f_ev_per_atom=0.03 dft_energy_ev_per_atom=-1.316 pbc="T T T"
Na 3.402 -2.899 0.095
Na 5.944 0.000 8.031
Na 8.895 -3.302 3.132
Na 12.410 1.776 2.706
Na 10.043 4.425 6.636
Na 6.515 -3.223 6.096
Na 14.367 0.000 8.653
Na 0.812 0.000 4.396
Na 12.410 -1.776 2.706
Na 9.395 0.000 1.314
Na 6.515 3.223 6.096
Na 8.895 3.302 3.132
Na 8.455 2.649 9.272
Na 10.043 -4.425 6.636
Na 8.455 -2.649 9.272
Na 3.402 2.899 0.095
Cs 5.238 0.000 3.155
Cs 10.109 0.000 6.088
Ag 1.666 0.000 1.003



Entry 7:
4
Lattice="-2.940 1.960 -0.498 -0.003 -0.884 -3.457 -4.181 -5.887 1.509" Properties=species:S:1:pos:R:3 comment="KAlGe2 PBE-GGA optimized geometry" sg="P4/mmm, No. 123" total_magnetization_mub_per_atom=0.000 delta_e_f_ev_per_atom=-0.03 dft_energy_ev_per_atom=-3.549 pbc="T T T"
Al -1.471 0.538 -1.978
K -3.562 -2.405 -1.223
Ge -0.719 -1.012 0.260
Ge -3.462 -4.874 1.250



Entry 8:
5
Lattice="-2.350 4.062 -0.039 -3.816 -2.223 -1.587 -1.392 -0.763 4.416" Properties=species:S:1:pos:R:3 comment="ScSi3Mo PBE-GGA optimized geometry" sg="Pm-3m, No. 221" e_above_lowest_polymorph_mev_per_atom=1221 raw_formation_energy_ev_per_atom=1.564 total_magnetization_mub_per_atom=0.000 dft_energy_ev_per_atom=-5.123 pbc="T T T"
Si -1.175 2.031 -0.019
Si -1.908 -1.111 -0.793
Si -0.696 -0.381 2.208
Sc 0.000 0.000 0.000
Mo -3.779 0.538 1.395



Entry 9:
8
Lattice="5.223 0.000 0.000 0.000 5.223 0.000 2.611 2.611 5.224" Properties=species:S:1:pos:R:3 comment="AgS2N PBE-GGA optimized geometry" sg="I-42d, No. 122" raw_formation_energy_ev_per_atom=0.937 total_magnetization_mub_per_atom=0.000 dft_energy_ev_per_atom=-3.921 pbc="T T T"
S 1.771 3.917 1.306
S 3.451 1.306 1.306
S 6.528 6.063 3.918
S 3.917 4.383 3.918
N 2.611 2.611 0.000
N 2.611 5.223 2.612
Ag 5.223 2.611 2.612
Ag 0.000 0.000 0.000



Entry 10:
10
Lattice="-1.898 -3.684 1.542 2.323 0.370 3.744 -7.845 5.836 4.291" Properties=species:S:1:pos:R:3 comment="LiAc2Zn4Pd3 PBE-GGA optimized geometry" sg="P-4m2, No. 115" total_magnetization_mub_per_atom=0.000 delta_e_f_ev_per_atom=-0.55 dft_energy_ev_per_atom=-3.626 pbc="T T T"
Ac -2.880 -0.405 1.827
Ac -4.752 4.584 5.107
Zn 0.000 0.000 0.000
Zn -5.852 1.805 3.453
Zn -1.780 2.374 3.481
Zn 0.213 -1.657 2.643
Pd -7.749 3.216 4.490
Pd 0.117 0.963 2.444
Pd -3.922 2.918 2.146
Li -3.709 1.261 4.789



Entry 11:
7
Lattice="5.643 0.000 0.000 0.000 5.643 0.000 -2.822 -2.822 8.648" Properties=species:S:1:pos:R:3 comment="RbTlInBr4 PBE-GGA optimized geometry" sg="I4mm, No. 107" raw_formation_energy_ev_per_atom=-1.036 total_magnetization_mub_per_atom=0.000 dft_energy_ev_per_atom=-2.859 pbc="T T T"
Br 2.822 2.822 5.764
Br 2.822 0.000 0.038
Br 0.000 0.000 3.016
Br 0.000 2.822 0.038
Tl 0.000 0.000 6.093
In 2.822 2.822 8.603
Rb 2.822 2.822 2.395



Entry 12:
4
Lattice="3.561 0.000 0.000 1.780 3.084 0.000 1.780 1.028 9.440" Properties=species:S:1:pos:R:3 comment="CaHo2H PBE-GGA optimized geometry" sg="R-3m, No. 166" total_magnetization_mub_per_atom=0.133 dft_energy_ev_per_atom=-3.644 pbc="T T T"
Ho 1.780 1.028 6.044
Ho 5.341 3.084 3.396
Ca 0.000 0.000 0.000
H 3.561 2.056 4.720